No. 1
VASP calculation (PBE) on a geometry-optimized TmPuCdRh structure.

- Total moment: 1.359 μB/atom
- Calculated total energy: -7.060 eV/atom

Unit cell a=7.1282 b=7.1282 c=7.1282 alpha=90.00 beta=90.00 gamma=90.00
Closest atoms and distances in Å follow each position.
Space group F-43m (No. 216)
One atom of each set of equivalent atoms:
Tm 0.0000 0.0000 0.0000 [4 per cell]  4 Cd 3.09, 4 Rh 3.09
Pu 0.0000 0.0000 0.5000 [4 per cell]  4 Rh 3.09, 4 Cd 3.09
Cd 0.2500 0.2500 0.2500 [4 per cell]  4 Tm 3.09, 4 Pu 3.09
Rh 0.2500 0.2500 0.7500 [4 per cell]  4 Tm 3.09, 4 Pu 3.09



No. 2
VASP calculation (PBE) on a geometry-optimized Pu2CdRu structure.

- Total moment: 2.622 μB/atom
- Calculated total energy: -9.612 eV/atom

Unit cell a=7.1166 b=7.1166 c=7.1166 alpha=90.00 beta=90.00 gamma=90.00
Closest atoms and distances in Å follow each position.
Space group Fm-3m (No. 225)
One atom of each set of equivalent atoms:
Pu 0.2500 0.2500 0.2500 [8 per cell]  4 Ru 3.08, 4 Cd 3.08
Cd 0.0000 0.0000 0.0000 [4 per cell]  8 Pu 3.08
Ru 0.0000 0.0000 0.5000 [4 per cell]  8 Pu 3.08



No. 3
VASP calculation (PBE) on a geometry-optimized PuCdRu2 structure.

- Total moment: 0.829 μB/atom
- Calculated total energy: -8.409 eV/atom

Unit cell a=3.3327 b=3.3327 c=6.4745 alpha=90.00 beta=90.00 gamma=90.00
Closest atoms and distances in Å follow each position.
Space group P4/mmm (No. 123)
One atom of each set of equivalent atoms:
Pu 0.0000 0.0000 0.0000 [1 per cell]  8 Ru 2.80
Cd 0.0000 0.0000 0.5000 [1 per cell]  8 Ru 2.92, 2 Pu 3.24
Ru 0.5000 0.5000 0.2332 [2 per cell]  4 Pu 2.80, 4 Cd 2.92, 1 Ru 3.02



No. 4
VASP calculation (PBE) on a geometry-optimized Pu2CdRu structure.

- Total moment: 2.686 μB/atom
- Calculated total energy: -9.853 eV/atom

Unit cell a=3.2441 b=3.2441 c=8.6415 alpha=90.00 beta=90.00 gamma=90.00
Closest atoms and distances in Å follow each position.
Space group P4/mmm (No. 123)
One atom of each set of equivalent atoms:
Pu 0.0000 0.0000 0.2065 [2 per cell]  4 Ru 2.91, 4 Pu 3.24
Cd 0.5000 0.5000 0.5000 [1 per cell]  4 Cd 3.24, 8 Pu 3.42
Ru 0.5000 0.5000 0.0000 [1 per cell]  8 Pu 2.91, 4 Ru 3.24



No. 5
VASP calculation (PBE) on a geometry-optimized PuCdRu2 structure.

- Total moment: 0.680 μB/atom
- Calculated total energy: -8.448 eV/atom

Unit cell a=4.4443 b=4.4443 c=3.5975 alpha=90.00 beta=90.00 gamma=90.00
Closest atoms and distances in Å follow each position.
Space group P4/mmm (No. 123)
One atom of each set of equivalent atoms:
Pu 0.0000 0.0000 0.0000 [1 per cell]  8 Ru 2.86, 4 Cd 3.14
Cd 0.5000 0.5000 0.0000 [1 per cell]  8 Ru 2.86, 4 Pu 3.14
Ru 0.0000 0.5000 0.5000 [2 per cell]  4 Cd 2.86, 4 Pu 2.86, 4 Ru 3.14



No. 6
VASP calculation (PBE) on a geometry-optimized Pu2Cd2Ru structure.

- Total moment: 2.091 μB/atom
- Calculated total energy: -8.092 eV/atom

Unit cell a=3.2323 b=3.2323 c=21.6437 alpha=90.00 beta=90.00 gamma=90.00
Closest atoms and distances in Å follow each position.
Space group I4/mmm (No. 139)
One atom of each set of equivalent atoms:
Pu 0.0000 0.0000 0.0828 [4 per cell]  4 Ru 2.90, 4 Pu 3.23
Cd 0.0000 0.0000 0.3007 [4 per cell]  8 Cd 3.17-3.23, 4 Pu 3.40
Ru 0.0000 0.0000 0.5000 [2 per cell]  8 Pu 2.90, 4 Ru 3.23



No. 7
VASP calculation (PBE) on a geometry-optimized Pu2CdRu structure.

- Total moment: 2.763 μB/atom
- Calculated total energy: -9.496 eV/atom

Unit cell a=3.2511 b=3.2511 c=32.1112 alpha=90.00 beta=90.00 gamma=120.00
Closest atoms and distances in Å follow each position.
Space group R-3m (No. 166, hexagonal axes)
One atom of each set of equivalent atoms:
Pu 0.0000 0.0000 0.1012 [6 per cell]  3 Ru 2.82
Cd 0.0000 0.0000 0.0000 [3 per cell]  2 Pu 3.25, 6 Cd 3.25
Ru 0.0000 0.0000 0.5000 [3 per cell]  6 Pu 2.82



No. 8
VASP calculation (PBE) on a geometry-optimized Pu2CdRu structure.

- Total moment: 2.626 μB/atom
- Calculated total energy: -9.616 eV/atom

Unit cell a=4.6033 b=4.6033 c=4.1453 alpha=90.00 beta=90.00 gamma=90.00
Closest atoms and distances in Å follow each position.
Space group P4/mmm (No. 123)
One atom of each set of equivalent atoms:
Pu 0.0000 0.5000 0.0000 [2 per cell]  4 Cd 3.10, 4 Ru 3.10, 4 Pu 3.26
Cd 0.0000 0.0000 0.5000 [1 per cell]  8 Pu 3.10, 4 Ru 3.26
Ru 0.5000 0.5000 0.5000 [1 per cell]  8 Pu 3.10, 4 Cd 3.26



No. 9
VASP calculation (PBE) on a geometry-optimized Pu12CdRu6 structure.

- Total moment: 0.423 μB/atom
- Calculated total energy: -11.836 eV/atom

Unit cell a=12.0073 b=12.0073 c=10.3366 alpha=90.00 beta=90.00 gamma=120.00
Closest atoms and distances in Å follow each position.
Space group R-3m (No. 166, hexagonal axes)
One atom of each set of equivalent atoms:
Pu 0.0000 0.3599 0.0000 [18 per cell]  4 Ru 2.61-2.66
Pu 0.0888 0.1775 0.8584 [18 per cell]  9 Pu 3.20-3.46, 2 Ru 3.46
Cd 0.0000 0.0000 0.5000 [3 per cell]  6 Ru 2.96
Ru 0.0504 0.5252 0.1931 [18 per cell]  4 Pu 2.61-2.66



No. 10
VASP calculation (PBE) on a geometry-optimized PuScCdRu structure.

- Total moment: 1.304 μB/atom
- Calculated total energy: -8.006 eV/atom

Unit cell a=3.2403 b=3.2403 c=8.0466 alpha=90.00 beta=90.00 gamma=90.00
Closest atoms and distances in Å follow each position.
Space group P4mm (No. 99)
One atom of each set of equivalent atoms:
Pu 0.0000 0.0000 0.0000 [1 per cell]  4 Ru 2.93, 4 Pu 3.24
Sc 0.0000 0.0000 0.5847 [1 per cell]  4 Ru 2.75
Cd 0.5000 0.5000 0.3122 [1 per cell]  4 Sc 3.17, 4 Cd 3.24, 4 Pu 3.40
Ru 0.5000 0.5000 0.7731 [1 per cell]  4 Sc 2.75, 4 Pu 2.93



No. 11
VASP calculation (PBE) on a geometry-optimized TbPuCdRu structure.

- Total moment: 1.296 μB/atom
- Calculated total energy: -7.511 eV/atom

Unit cell a=3.3368 b=3.3368 c=8.3279 alpha=90.00 beta=90.00 gamma=90.00
Closest atoms and distances in Å follow each position.
Space group P4mm (No. 99)
One atom of each set of equivalent atoms:
Tb 0.0000 0.0000 0.0000 [1 per cell]  4 Ru 2.94
Pu 0.0000 0.0000 0.5849 [1 per cell]  4 Ru 2.91
Cd 0.5000 0.5000 0.2902 [1 per cell]  4 Cd 3.34, 4 Tb 3.38, 4 Pu 3.40
Ru 0.5000 0.5000 0.7894 [1 per cell]  4 Pu 2.91, 4 Tb 2.94



No. 12
VASP calculation (PBE) on a geometry-optimized TbPuCdRu structure.

- Total moment: 1.342 μB/atom
- Calculated total energy: -7.351 eV/atom

Unit cell a=7.1426 b=7.1426 c=7.1426 alpha=90.00 beta=90.00 gamma=90.00
Closest atoms and distances in Å follow each position.
Space group F-43m (No. 216)
One atom of each set of equivalent atoms:
Tb 0.0000 0.0000 0.0000 [4 per cell]  4 Cd 3.09, 4 Ru 3.09
Pu 0.0000 0.0000 0.5000 [4 per cell]  4 Ru 3.09, 4 Cd 3.09
Cd 0.2500 0.2500 0.7500 [4 per cell]  4 Tb 3.09, 4 Pu 3.09
Ru 0.2500 0.2500 0.2500 [4 per cell]  4 Tb 3.09, 4 Pu 3.09



No. 13
VASP calculation (PBE) on a geometry-optimized Pu2CdS structure.

- E_form (uncorrected): -0.670 eV per atom
- Total moment: 2.998 μB/atom
- Calculated total energy: -9.097 eV/atom

Unit cell a=3.7037 b=3.7037 c=26.1286 alpha=90.00 beta=90.00 gamma=120.00
Closest atoms and distances in Å follow each position.
Space group R-3m (No. 166, hexagonal axes)
One atom of each set of equivalent atoms:
Pu 0.0000 0.0000 0.2336 [6 per cell]  3 S 2.76
Cd 0.0000 0.0000 0.0000 [3 per cell]  6 Pu 3.37, 6 Cd 3.70
S 0.0000 0.0000 0.5000 [3 per cell]  6 Pu 2.76